No. 1
The following is a GGA-PBE calculation of a relaxed structure of RbNaAuSe2, from Alexandria via LeMat-Bulk. Values from VASP.

Cell and atoms, written as Quantum ESPRESSO input:
```
&SYSTEM
  ibrav = 0, nat = 10, ntyp = 4
/
ATOMIC_SPECIES
Rb 85.47 Rb.upf
Na 22.99 Na.upf
Au 196.97 Au.upf
Se 78.96 Se.upf
CELL_PARAMETERS angstrom
3.629 -7.066 0.000
3.629 7.066 0.000
0.000 0.000 6.112
ATOMIC_POSITIONS angstrom
Rb 3.629 3.533 4.663
Rb 3.629 -3.533 1.449
Na 1.814 0.000 3.056
Na 5.443 0.000 3.056
Au 0.000 0.000 0.000
Au 3.629 0.000 0.000
Se 3.629 5.272 1.630
Se 3.629 1.794 1.630
Se 3.629 -1.794 4.482
Se 3.629 -5.272 4.482
```

Summary:
total magnetic moment	0.00	μB per formula unit
N(E_F)	10.14	states/eV per cell
ΔE_f (raw)	-0.6567	eV/atom
space-group type	Cmme, No. 67

***

No. 2
The following is a GGA-PBE calculation of a relaxed structure of TiCu2Hg, from Alexandria via LeMat-Bulk. Values from VASP.

Cell and atoms, written as Quantum ESPRESSO input:
```
&SYSTEM
  ibrav = 0, nat = 16, ntyp = 3
/
ATOMIC_SPECIES
Ti 47.87 Ti.upf
Cu 63.55 Cu.upf
Hg 200.59 Hg.upf
CELL_PARAMETERS angstrom
7.116 0.000 0.000
0.000 7.116 0.000
0.000 0.000 5.456
ATOMIC_POSITIONS angstrom
Ti 0.000 0.000 0.000
Ti 0.000 3.558 1.364
Ti 3.558 0.000 4.092
Ti 3.558 3.558 2.728
Cu 1.710 1.779 0.682
Cu 1.779 5.268 2.046
Cu 1.779 5.407 4.774
Cu 1.849 1.779 3.410
Cu 5.268 5.337 3.410
Cu 5.337 1.710 4.774
Cu 5.337 1.849 2.046
Cu 5.407 5.337 0.682
Hg 0.000 0.000 2.728
Hg 0.000 3.558 4.092
Hg 3.558 0.000 1.364
Hg 3.558 3.558 0.000
```

Summary:
total magnetic moment	1.00	μB per formula unit
N(E_F)	20.62	states/eV per cell
formation energy	1.73	eV/f.u.
space-group type	I-42d, No. 122

***

No. 3
The following is a GGA-PBE calculation of a relaxed structure of Rb2SrAlGe, from Alexandria via LeMat-Bulk. Values from VASP.

Cell and atoms, written as Quantum ESPRESSO input:
```
&SYSTEM
  ibrav = 0, nat = 5, ntyp = 4
/
ATOMIC_SPECIES
Rb 85.47 Rb.upf
Sr 87.62 Sr.upf
Al 26.98 Al.upf
Ge 72.64 Ge.upf
CELL_PARAMETERS angstrom
7.162 0.000 0.000
0.000 7.162 0.000
0.000 0.000 5.805
ATOMIC_POSITIONS angstrom
Rb 0.000 3.581 0.000
Rb 3.581 0.000 0.000
Sr 0.000 0.000 0.000
Al 0.000 0.000 2.903
Ge 3.581 3.581 2.903
```

Summary:
total magnetic moment	0.00	μB per formula unit
N(E_F)	4.10	states/eV per cell
formation energy	5.10	eV/f.u.
space-group type	P4/mmm, No. 123

***

No. 4
The following is a GGA-PBE calculation of a relaxed structure of Li4Tl5Cd2, from Alexandria via LeMat-Bulk. Values from VASP.

Cell and atoms, written as Quantum ESPRESSO input:
```
&SYSTEM
  ibrav = 0, nat = 11, ntyp = 3
/
ATOMIC_SPECIES
Li 6.94 Li.upf
Tl 204.38 Tl.upf
Cd 112.41 Cd.upf
CELL_PARAMETERS angstrom
4.208 0.000 0.000
-0.060 6.544 0.000
-2.087 -2.013 9.654
ATOMIC_POSITIONS angstrom
Li -0.012 1.831 0.462
Li 0.005 0.017 5.356
Li 2.056 4.514 4.298
Li 2.073 2.700 9.192
Tl -0.041 5.807 2.526
Tl -0.034 2.387 3.474
Tl 2.104 0.000 0.000
Tl 2.095 2.144 6.180
Tl 2.102 -1.276 7.128
Cd -0.021 0.932 8.205
Cd 2.082 3.599 1.449
```

Summary:
total magnetic moment	0.00	μB per formula unit
N(E_F)	3.44	states/eV per cell
formation energy	-0.99	eV/f.u.
space-group type	P-1, No. 2

***

No. 5
The following is a GGA-PBE calculation of a relaxed structure of Cs2NaAgAs, from Alexandria via LeMat-Bulk. Values from VASP.

Cell and atoms, written as Quantum ESPRESSO input:
```
&SYSTEM
  ibrav = 0, nat = 5, ntyp = 4
/
ATOMIC_SPECIES
Cs 132.91 Cs.upf
Na 22.99 Na.upf
Ag 107.87 Ag.upf
As 74.92 As.upf
CELL_PARAMETERS angstrom
7.340 0.000 0.000
0.000 7.340 0.000
0.000 0.000 4.876
ATOMIC_POSITIONS angstrom
Cs 0.000 3.670 0.000
Cs 3.670 0.000 0.000
Na 0.000 0.000 2.438
Ag 3.670 3.670 2.438
As 3.670 3.670 0.000
```

Summary:
total magnetic moment	0.00	μB per formula unit
N(E_F)	3.19	states/eV per cell
formation energy	-0.17	eV/f.u.
space-group type	P4/mmm, No. 123

***

No. 6
The following is a GGA-PBE calculation of a relaxed structure of Er8Te4AuSe3, from Alexandria via LeMat-Bulk. Values from VASP.

Cell and atoms, written as Quantum ESPRESSO input:
```
&SYSTEM
  ibrav = 0, nat = 16, ntyp = 4
/
ATOMIC_SPECIES
Er 167.26 Er.upf
Te 127.60 Te.upf
Au 196.97 Au.upf
Se 78.96 Se.upf
CELL_PARAMETERS angstrom
4.190 2.419 6.968
-4.190 2.419 6.968
0.000 -4.838 6.968
ATOMIC_POSITIONS angstrom
Er 0.000 0.000 5.001
Er -2.047 -1.182 11.987
Er 0.000 -2.363 8.917
Er -2.047 1.182 8.917
Er 2.047 -1.182 11.987
Er 0.000 2.363 11.987
Er 2.047 1.182 8.917
Er 0.000 0.000 15.902
Te 0.000 0.000 0.000
Te -2.095 -1.209 6.968
Te -2.095 1.209 13.936
Te 0.000 2.419 6.968
Au 0.000 0.000 10.452
Se -4.190 0.000 10.452
Se -2.095 1.209 3.484
Se 2.095 1.209 3.484
```

Summary:
total magnetic moment	0.00	μB per formula unit
N(E_F)	6.74	states/eV per cell
ΔE_f (raw)	-1.3799	eV/atom
space-group type	R-3m, No. 166

***

No. 7
The following is a GGA-PBE calculation of a relaxed structure of K3InAg, from Alexandria via LeMat-Bulk. Values from VASP.

Cell and atoms, written as Quantum ESPRESSO input:
```
&SYSTEM
  ibrav = 0, nat = 5, ntyp = 3
/
ATOMIC_SPECIES
K 39.10 K.upf
In 114.82 In.upf
Ag 107.87 Ag.upf
CELL_PARAMETERS angstrom
6.368 0.000 0.000
0.000 6.368 0.000
0.000 0.000 6.368
ATOMIC_POSITIONS angstrom
K 0.000 0.000 3.184
K 0.000 3.184 0.000
K 3.184 0.000 0.000
In 3.184 3.184 3.184
Ag 0.000 0.000 0.000
```

Summary:
total magnetic moment	0.00	μB per formula unit
N(E_F)	3.87	states/eV per cell
formation energy	1.02	eV/f.u.
energy above the most stable polymorph in this dataset	0	meV per atom
space-group type	Pm-3m, No. 221

***

No. 8
The following is a GGA-PBE calculation of a relaxed structure of ZnPbW2, from Alexandria via LeMat-Bulk. Values from VASP.

Cell and atoms, written as Quantum ESPRESSO input:
```
&SYSTEM
  ibrav = 0, nat = 8, ntyp = 3
/
ATOMIC_SPECIES
Zn 65.41 Zn.upf
Pb 207.20 Pb.upf
W 183.84 W.upf
CELL_PARAMETERS angstrom
3.384 0.000 0.000
0.000 4.643 0.000
0.000 0.000 9.151
ATOMIC_POSITIONS angstrom
Zn 0.000 0.000 0.000
Zn 1.692 2.322 0.000
Pb 0.000 0.000 4.575
Pb 1.692 2.322 4.575
W 0.000 2.322 2.109
W 0.000 2.322 7.041
W 1.692 0.000 2.109
W 1.692 0.000 7.041
```

Summary:
total magnetic moment	0.00	μB per formula unit
N(E_F)	5.31	states/eV per cell
formation energy	3.73	eV/f.u.
energy above the most stable polymorph in this dataset	425	meV per atom
space-group type	Cmmm, No. 65

***

No. 9
The following is a GGA-PBE calculation of a relaxed structure of La6H2Pb3, from Alexandria via LeMat-Bulk. Values from VASP.

Cell and atoms, written as Quantum ESPRESSO input:
```
&SYSTEM
  ibrav = 0, nat = 11, ntyp = 3
/
ATOMIC_SPECIES
La 138.91 La.upf
H 1.01 H.upf
Pb 207.20 Pb.upf
CELL_PARAMETERS angstrom
-2.473 2.473 13.374
2.473 -2.473 13.374
2.473 2.473 -13.374
ATOMIC_POSITIONS angstrom
La 2.473 0.000 2.224
La 0.000 0.000 5.363
La 2.473 0.000 11.150
La 0.000 2.473 2.224
La 0.000 0.000 21.386
La 0.000 2.473 11.150
H 0.000 0.000 2.800
H 0.000 0.000 23.949
Pb 0.000 0.000 8.704
Pb 0.000 0.000 13.374
Pb 0.000 0.000 18.044
```

Summary:
total magnetic moment	0.00	μB per formula unit
N(E_F)	13.27	states/eV per cell
space-group type	I4/mmm, No. 139

***

No. 10
The following is a GGA-PBE calculation of a relaxed structure of Sn2BiAs, from Alexandria via LeMat-Bulk. Values from VASP.

Cell and atoms, written as Quantum ESPRESSO input:
```
&SYSTEM
  ibrav = 0, nat = 12, ntyp = 3
/
ATOMIC_SPECIES
Sn 118.71 Sn.upf
Bi 208.98 Bi.upf
As 74.92 As.upf
CELL_PARAMETERS angstrom
3.948 0.000 0.000
-1.974 3.419 0.000
0.000 0.000 29.178
ATOMIC_POSITIONS angstrom
Sn 0.000 0.000 0.000
Sn 0.000 0.000 13.979
Sn 0.000 2.279 4.253
Sn 0.000 2.279 19.452
Sn 1.974 1.140 9.726
Sn 1.974 1.140 23.705
Bi 0.000 0.000 25.968
Bi 0.000 2.279 16.242
Bi 1.974 1.140 6.516
As 0.000 0.000 11.092
As 0.000 2.279 1.366
As 1.974 1.140 20.818
```

Summary:
total magnetic moment	0.00	μB per formula unit
N(E_F)	4.92	states/eV per cell
formation energy	0.53	eV/f.u.
space-group type	R3m, No. 160

***

No. 11
The following is a GGA-PBE calculation of a relaxed structure of Pr8Co3PdBr4, from Alexandria via LeMat-Bulk. Values from VASP.

Cell and atoms, written as Quantum ESPRESSO input:
```
&SYSTEM
  ibrav = 0, nat = 16, ntyp = 4
/
ATOMIC_SPECIES
Pr 140.91 Pr.upf
Co 58.93 Co.upf
Pd 106.42 Pd.upf
Br 79.90 Br.upf
CELL_PARAMETERS angstrom
4.094 2.364 7.837
-4.094 2.364 7.837
0.000 -4.727 7.837
ATOMIC_POSITIONS angstrom
Pr -2.141 -1.236 13.280
Pr 0.000 0.000 5.440
Pr 0.000 -2.472 10.231
Pr -2.141 1.236 10.231
Pr 2.141 -1.236 13.280
Pr 0.000 2.472 13.280
Pr 0.000 0.000 18.070
Pr 2.141 1.236 10.231
Co -4.094 0.000 11.755
Co -2.047 1.182 3.918
Co 2.047 1.182 3.918
Pd 0.000 0.000 11.755
Br 0.000 0.000 0.000
Br -2.047 -1.182 7.837
Br -2.047 1.182 15.674
Br 0.000 2.364 7.837
```

Summary:
total magnetic moment	0.00	μB per formula unit
N(E_F)	7.18	states/eV per cell
ΔE_f (raw)	-0.7924	eV/atom
space-group type	R-3m, No. 166

***

No. 12
The following is a GGA-PBE calculation of a relaxed structure of Pr2Th3UN6, from Alexandria via LeMat-Bulk. Values from VASP.

Cell and atoms, written as Quantum ESPRESSO input:
```
&SYSTEM
  ibrav = 0, nat = 12, ntyp = 4
/
ATOMIC_SPECIES
Pr 140.91 Pr.upf
Th 232.04 Th.upf
U 238.03 U.upf
N 14.01 N.upf
CELL_PARAMETERS angstrom
3.146 -5.433 0.000
3.146 5.433 0.000
-2.086 0.000 5.903
ATOMIC_POSITIONS angstrom
Pr 3.146 3.621 0.000
Pr 3.146 -3.621 0.000
Th -1.043 0.000 2.952
Th 2.103 1.829 2.952
Th 2.103 -1.829 2.952
U 3.146 0.000 0.000
N 0.130 1.603 4.508
N 1.257 0.000 1.484
N 0.130 -1.603 4.508
N 4.076 1.603 1.395
N 2.948 0.000 4.419
N 4.076 -1.603 1.395
```

Summary:
total magnetic moment	0.00	μB per formula unit
N(E_F)	5.62	states/eV per cell
ΔE_f (raw)	-1.4668	eV/atom
space-group type	C2/m, No. 12

***

no.,E (eV per atom)
1,-3.163
2,-3.665
3,-1.375
4,-2.028
5,-2.140
6,-5.305
7,-1.573
8,-6.789
9,-4.795
10,-4.003
11,-5.257
12,-9.222